# 1
# TiCo2Re

A relaxed structure of TiCo2Re (PBE, Alexandria).

Unit cell a=4.2116 b=4.2116 c=4.2116 alpha=60.00 beta=60.00 gamma=60.00
With the nearest neighbours (Å) after each atom.
Atoms (fractional coordinates):
Re  0.5000  0.5000  0.5000  8 Co 2.58
Co  0.2500  0.2500  0.2500  4 Re 2.58, 4 Ti 2.58
Co  0.7500  0.7500  0.7500  4 Re 2.58, 4 Ti 2.58
Ti  0.0000  0.0000  0.0000  8 Co 2.58

Values from the calculation:
Total energy, eV/atom: -8.6883
Energy of formation, eV/f.u.: -0.20
Magnetic moment, μB/f.u.: 4.07
Space group: Fm-3m
Excess energy over the best structure of this formula in the dataset, kJ/mol of atoms: 8.9


# 2
# TiCo6Re

A relaxed structure of TiCo6Re (PBE, Alexandria).

Unit cell a=6.1877 b=6.1877 c=10.1109 alpha=90.00 beta=90.00 gamma=109.33
With the nearest neighbours (Å) after each atom.
Atoms (fractional coordinates):
Ti  0.7495  0.2505  0.0000  12 Co 2.52-2.57
Ti  0.2505  0.7495  0.0000  12 Co 2.52-2.57
Ti  0.5000  0.5000  0.7547  12 Co 2.48-2.59
Ti  0.5000  0.5000  0.2453  12 Co 2.48-2.59
Co  0.7519  0.2481  0.7460  8 Co 2.49-2.57, 2 Re 2.49-2.51, 2 Ti 2.54-2.57
Co  0.1222  0.3705  0.8730  1 Re 2.47, 8 Co 2.51-2.57, 3 Ti 2.51-2.56
Co  0.8778  0.6295  0.8730  1 Re 2.47, 8 Co 2.51-2.57, 3 Ti 2.51-2.56
Co  0.2481  0.7519  0.7460  8 Co 2.49-2.57, 2 Re 2.49-2.51, 2 Ti 2.54-2.57
Co  0.6295  0.8778  0.8730  1 Re 2.47, 8 Co 2.51-2.57, 3 Ti 2.51-2.56
Co  0.3705  0.1222  0.8730  1 Re 2.47, 8 Co 2.51-2.57, 3 Ti 2.51-2.56
Co  0.5000  0.5000  0.5000  2 Re 2.50, 8 Co 2.54, 2 Ti 2.58
Co  0.8794  0.6272  0.6228  8 Co 2.48-2.55, 3 Re 2.51-2.56, 1 Ti 2.59
Co  0.6272  0.8794  0.6228  8 Co 2.48-2.55, 3 Re 2.51-2.56, 1 Ti 2.59
Co  0.7519  0.2481  0.2540  8 Co 2.49-2.57, 2 Re 2.49-2.51, 2 Ti 2.54-2.57
Co  0.1206  0.3728  0.3772  8 Co 2.48-2.55, 3 Re 2.51-2.56, 1 Ti 2.59
Co  0.8794  0.6272  0.3772  8 Co 2.48-2.55, 3 Re 2.51-2.56, 1 Ti 2.59
Co  0.2481  0.7519  0.2540  8 Co 2.49-2.57, 2 Re 2.49-2.51, 2 Ti 2.54-2.57
Co  0.6272  0.8794  0.3772  8 Co 2.48-2.55, 3 Re 2.51-2.56, 1 Ti 2.59
Co  0.3728  0.1206  0.3772  8 Co 2.48-2.55, 3 Re 2.51-2.56, 1 Ti 2.59
Co  0.5000  0.5000  0.0000  4 Ti 2.48-2.52, 8 Co 2.55
Co  0.8778  0.6295  0.1270  1 Re 2.47, 8 Co 2.51-2.57, 3 Ti 2.51-2.56
Co  0.6295  0.8778  0.1270  1 Re 2.47, 8 Co 2.51-2.57, 3 Ti 2.51-2.56
Co  0.0000  0.0000  0.5000  8 Co 2.51, 4 Re 2.55-2.58
Co  0.3728  0.1206  0.6228  8 Co 2.48-2.55, 3 Re 2.51-2.56, 1 Ti 2.59
Co  0.1206  0.3728  0.6228  8 Co 2.48-2.55, 3 Re 2.51-2.56, 1 Ti 2.59
Co  0.0000  0.0000  0.0000  2 Re 2.48, 8 Co 2.52, 2 Ti 2.53
Co  0.3705  0.1222  0.1270  1 Re 2.47, 8 Co 2.51-2.57, 3 Ti 2.51-2.56
Co  0.1222  0.3705  0.1270  1 Re 2.47, 8 Co 2.51-2.57, 3 Ti 2.51-2.56
Re  0.7474  0.2526  0.5000  12 Co 2.49-2.55
Re  0.2526  0.7474  0.5000  12 Co 2.49-2.55
Re  0.0000  0.0000  0.7552  12 Co 2.47-2.58
Re  0.0000  0.0000  0.2448  12 Co 2.47-2.58

Values from the calculation:
Total energy, eV/atom: -8.0151
Energy of formation, eV/f.u.: -1.14
Magnetic moment, μB/f.u.: 0.25
Space group: Cmmm


# 3
# TiCoRe

A relaxed structure of TiCoRe (PBE, Alexandria).

Unit cell a=5.2004 b=5.0737 c=7.3038 alpha=90.00 beta=90.00 gamma=120.83
With the nearest neighbours (Å) after each atom.
Atoms (fractional coordinates):
Co  0.6108  0.2217  0.5897  1 Co 2.33, 2 Ti 2.41-2.46
Co  0.8892  0.7783  0.0897  1 Co 2.33, 2 Ti 2.41-2.46
Co  0.3892  0.7783  0.4103  1 Co 2.33, 2 Ti 2.41-2.46
Co  0.1108  0.2217  0.9103  1 Co 2.33, 2 Ti 2.41-2.46
Re  0.3671  0.2342  0.2500  2 Re 2.60, 4 Co 2.65-2.80, 4 Ti 2.72-2.73
Re  0.1329  0.7658  0.7500  2 Re 2.60, 4 Co 2.65-2.80, 4 Ti 2.72-2.73
Re  0.6329  0.7658  0.7500  2 Re 2.60, 4 Co 2.65-2.80, 4 Ti 2.72-2.73
Re  0.8671  0.2342  0.2500  2 Re 2.60, 4 Co 2.65-2.80, 4 Ti 2.72-2.73
Ti  0.8501  0.7003  0.4235  4 Co 2.41-2.62
Ti  0.6499  0.2997  0.9235  4 Co 2.41-2.62
Ti  0.1499  0.2997  0.5765  4 Co 2.41-2.62
Ti  0.3501  0.7003  0.0765  4 Co 2.41-2.62

Values from the calculation:
Total energy, eV/atom: -9.3037
Energy of formation, eV/f.u.: -0.46
Magnetic moment, μB/f.u.: 0.00
Space group: Cmce


# 4
# TiCo3Re

A relaxed structure of TiCo3Re (PBE, Alexandria).

Unit cell a=4.1564 b=4.1564 c=4.1564 alpha=90.00 beta=90.00 gamma=90.00
With the nearest neighbours (Å) after each atom.
Atoms (fractional coordinates):
Re  0.5000  0.5000  0.5000  12 Co 2.94
Co  0.0000  0.5000  0.0000  2 Ti 2.08
Co  0.0000  0.0000  0.5000  2 Ti 2.08
Co  0.5000  0.0000  0.0000  2 Ti 2.08
Ti  0.0000  0.0000  0.0000  6 Co 2.08

Values from the calculation:
Total energy, eV/atom: -7.0313
Energy of formation, eV/f.u.: 6.50
Magnetic moment, μB/f.u.: 4.00
Space group: Pm-3m


# 5
# Ti4Co3Re

A relaxed structure of Ti4Co3Re (PBE, Alexandria).

Unit cell a=3.0543 b=3.0543 c=11.7339 alpha=90.00 beta=90.00 gamma=90.00
With the nearest neighbours (Å) after each atom.
Atoms (fractional coordinates):
Re  0.5000  0.5000  0.0000  8 Ti 2.65
Co  0.5000  0.5000  0.2599  8 Ti 2.57-2.64, 1 Co 2.82
Co  0.5000  0.5000  0.5000  8 Ti 2.59, 2 Co 2.82
Co  0.5000  0.5000  0.7401  8 Ti 2.57-2.64, 1 Co 2.82
Ti  0.0000  0.0000  0.8698  4 Co 2.64, 4 Re 2.65, 1 Ti 2.91
Ti  0.0000  0.0000  0.1302  4 Co 2.64, 4 Re 2.65, 1 Ti 2.91
Ti  0.0000  0.0000  0.3780  8 Co 2.57-2.59, 1 Ti 2.86
Ti  0.0000  0.0000  0.6220  8 Co 2.57-2.59, 1 Ti 2.86

Values from the calculation:
Total energy, eV/atom: -8.5752
Energy of formation, eV/f.u.: -3.26
Magnetic moment, μB/f.u.: 0.00
Space group: P4/mmm


# 6
# TiCoRe2

A relaxed structure of TiCoRe2 (PBE, Alexandria).

Unit cell a=7.0156 b=7.0156 c=5.5488 alpha=50.79 beta=50.79 gamma=90.00
With the nearest neighbours (Å) after each atom.
Atoms (fractional coordinates):
Re  0.6600  0.1250  0.2500  2 Co 2.40, 2 Re 2.53
Re  0.0900  0.6250  0.2500  2 Co 2.40, 2 Re 2.53
Re  0.3750  0.3400  0.7500  2 Co 2.40, 2 Re 2.53
Re  0.8750  0.9100  0.7500  2 Co 2.40, 2 Re 2.53
Co  0.0000  0.0000  0.0000  4 Re 2.40, 2 Ti 2.49
Co  0.7500  0.2500  0.5000  4 Re 2.40, 2 Ti 2.49
Ti  0.5000  0.5000  0.0000  2 Co 2.49, 4 Re 2.73
Ti  0.2500  0.7500  0.5000  2 Co 2.49, 4 Re 2.73

Values from the calculation:
Total energy, eV/atom: -9.4710
Energy of formation, eV/f.u.: 2.01
Magnetic moment, μB/f.u.: 0.00
Space group: I-42d
Excess energy over the best structure of this formula in the dataset, kJ/mol of atoms: 40.6


# 7
# Ti5Zn2Co2Re

A relaxed structure of Ti5Zn2Co2Re (PBE, Alexandria).

Unit cell a=3.0629 b=10.0912 c=10.0912 alpha=90.00 beta=90.00 gamma=90.00
With the nearest neighbours (Å) after each atom.
Atoms (fractional coordinates):
Ti  0.5000  0.1979  0.0719  2 Co 2.39, 2 Re 2.62
Ti  0.5000  0.8021  0.9281  2 Co 2.39, 2 Re 2.62
Ti  0.5000  0.0719  0.8021  2 Co 2.39, 2 Re 2.62
Ti  0.5000  0.6979  0.4281  2 Co 2.39, 2 Re 2.62
Ti  0.5000  0.9281  0.1979  2 Co 2.39, 2 Re 2.62
Ti  0.5000  0.3021  0.5719  2 Co 2.39, 2 Re 2.62
Ti  0.5000  0.5719  0.6979  2 Co 2.39, 2 Re 2.62
Ti  0.5000  0.4281  0.3021  2 Co 2.39, 2 Re 2.62
Ti  0.5000  0.5000  0.0000  4 Co 2.40
Ti  0.5000  0.0000  0.5000  4 Co 2.40
Zn  0.0000  0.6730  0.1730  3 Co 2.83-3.08, 6 Ti 2.90-3.01, 2 Zn 3.06
Zn  0.0000  0.3270  0.8270  3 Co 2.83-3.08, 6 Ti 2.90-3.01, 2 Zn 3.06
Zn  0.0000  0.1730  0.3270  3 Co 2.83-3.08, 6 Ti 2.90-3.01, 2 Zn 3.06
Zn  0.0000  0.8270  0.6730  3 Co 2.83-3.08, 6 Ti 2.90-3.01, 2 Zn 3.06
Co  0.0000  0.1291  0.6291  6 Ti 2.39-2.40
Co  0.0000  0.8709  0.3709  6 Ti 2.39-2.40
Co  0.0000  0.6291  0.8709  6 Ti 2.39-2.40
Co  0.0000  0.3709  0.1291  6 Ti 2.39-2.40
Re  0.0000  0.0000  0.0000  8 Ti 2.62
Re  0.0000  0.5000  0.5000  8 Ti 2.62

Values from the calculation:
Total energy, eV/atom: -7.0262
Energy of formation, eV/f.u.: -1.58
Magnetic moment, μB/f.u.: 0.00
Space group: P4/mbm


# 8
# ZrTiCoRe

A relaxed structure of ZrTiCoRe (PBE, Alexandria).

Unit cell a=4.4657 b=4.4657 c=4.4657 alpha=60.00 beta=60.00 gamma=60.00
With the nearest neighbours (Å) after each atom.
Atoms (fractional coordinates):
Re  0.5000  0.5000  0.5000  4 Zr 2.73, 4 Ti 2.73
Co  0.0000  0.0000  0.0000  4 Ti 2.73, 4 Zr 2.73
Zr  0.7500  0.7500  0.7500  4 Re 2.73, 4 Co 2.73
Ti  0.2500  0.2500  0.2500  4 Co 2.73, 4 Re 2.73

Values from the calculation:
Total energy, eV/atom: -9.3090
Energy of formation, eV/f.u.: -1.24
Magnetic moment, μB/f.u.: 0.01
Space group: F-43m


The highest energy of formation belongs to which entry? TiCo3Re


Among the records above, which one has the highest total energy? Ti5Zn2Co2Re